(1)
This record from OQMD describes a relaxed structure of Pm5Mg4Cd. The functional is GGA-PBE.

a b c (Å): 3.8524 3.8524 19.2650
angles (deg): 90.00 90.00 90.00
With the nearest neighbours (Å) after each atom.
Element x y z (fractional)
Pm  0.0000  0.0000  0.0000  8 Mg 3.34
Pm  0.0000  0.0000  0.2013  8 Mg 3.32-3.34
Pm  0.0000  0.0000  0.4010  4 Cd 3.32, 4 Mg 3.35
Pm  0.0000  0.0000  0.5990  4 Cd 3.32, 4 Mg 3.35
Pm  0.0000  0.0000  0.7987  8 Mg 3.32-3.34
Mg  0.5000  0.5000  0.1005  8 Pm 3.34
Mg  0.5000  0.5000  0.3000  8 Pm 3.32-3.35
Mg  0.5000  0.5000  0.7000  8 Pm 3.32-3.35
Mg  0.5000  0.5000  0.8995  8 Pm 3.34
Cd  0.5000  0.5000  0.5000  8 Pm 3.32

Summary:
Its raw total energy is -3.23 eV per atom. The calculated volume comes out at 285.92 Å³/cell.

---

(2)
This record from OQMD describes a relaxed structure of Cu5Ag4. The functional is GGA-PBE.

a b c (Å): 16.6581 16.6581 16.6581
angles (deg): 170.32 170.32 13.70
With the nearest neighbours (Å) after each atom.
Element x y z (fractional)
Cu  0.0000  0.0000  0.0000  12 Cu 2.52-2.81
Cu  0.0941  0.0941  0.0000  8 Cu 2.52-2.81, 4 Ag 2.74
Cu  0.3384  0.3384  0.0000  8 Ag 2.72-2.73, 4 Cu 2.81
Cu  0.4529  0.4529  0.0000  8 Cu 2.52-2.81, 4 Ag 2.76
Cu  0.5472  0.5472  0.0000  12 Cu 2.52-2.81
Ag  0.2168  0.2168  0.0000  12 Ag 2.81-2.95
Ag  0.6511  0.6511  0.0000  4 Cu 2.74, 8 Ag 2.81-2.95
Ag  0.7823  0.7823  0.0000  4 Cu 2.72, 8 Ag 2.81-2.94
Ag  0.8951  0.8951  0.0000  8 Cu 2.73-2.76, 4 Ag 2.81

Summary:
Its energy above the most stable polymorph in this dataset is 20 meV/atom. The calculation puts the formation energy at 0.06 eV per atom. Its raw total energy is -3.26 eV per atom. The calculated volume comes out at 130.64 Å³/cell.

---

(3)
This record from OQMD describes a relaxed structure of ReCl2. The functional is GGA-PBE.

a b c (Å): 7.3432 7.3432 7.3432
angles (deg): 60.00 60.00 60.00
With the nearest neighbours (Å) after each atom.
Element x y z (fractional)
Re  0.1250  0.1250  0.1250  4 Cl 2.25
Re  0.8750  0.8750  0.8750  4 Cl 2.25
Cl  0.0000  0.0000  0.0000  2 Re 2.25
Cl  0.0000  0.0000  0.5000  2 Re 2.25
Cl  0.0000  0.5000  0.0000  2 Re 2.25
Cl  0.5000  0.0000  0.0000  2 Re 2.25

Summary:
Its energy above the most stable polymorph in this dataset is 424 meV/atom. Its raw total energy is -4.71 eV per atom. The calculated volume comes out at 279.98 Å³/cell.

---

(4)
This record from OQMD describes a relaxed structure of HoSi2. The functional is GGA-PBE.

a b c (Å): 5.3067 5.3067 5.3067
angles (deg): 60.00 60.00 60.00
With the nearest neighbours (Å) after each atom.
Element x y z (fractional)
Ho  0.1250  0.1250  0.1250  12 Si 3.11, 4 Ho 3.25
Ho  0.8750  0.8750  0.8750  12 Si 3.11, 4 Ho 3.25
Si  0.0000  0.5000  0.5000  6 Si 2.65
Si  0.5000  0.0000  0.5000  6 Si 2.65
Si  0.5000  0.5000  0.0000  6 Si 2.65
Si  0.5000  0.5000  0.5000  6 Si 2.65

Summary:
Its raw total energy is -5.45 eV per atom. The calculated volume comes out at 105.67 Å³/cell.

---

(5)
This record from OQMD describes a relaxed structure of Mg4Pd3. The functional is GGA-PBE.

a b c (Å): 7.6514 7.6514 4.6519
angles (deg): 90.00 90.00 120.00
With the nearest neighbours (Å) after each atom.
Element x y z (fractional)
Mg  0.0319  0.7767  0.2500  5 Pd 2.69-2.96, 5 Mg 2.82-2.97
Mg  0.2233  0.2552  0.2500  5 Pd 2.69-2.96, 5 Mg 2.82-2.97
Mg  0.2552  0.0319  0.7500  5 Pd 2.69-2.96, 5 Mg 2.82-2.97
Mg  0.3333  0.6667  0.2500  3 Mg 2.82, 9 Pd 2.89
Mg  0.6667  0.3333  0.7500  3 Mg 2.82, 9 Pd 2.89
Mg  0.7448  0.9681  0.2500  5 Pd 2.69-2.96, 5 Mg 2.82-2.97
Mg  0.7767  0.7448  0.7500  5 Pd 2.69-2.96, 5 Mg 2.82-2.97
Mg  0.9681  0.2233  0.7500  5 Pd 2.69-2.96, 5 Mg 2.82-2.97
Pd  0.0918  0.6288  0.7500  8 Mg 2.69-2.96, 4 Pd 2.92-2.98
Pd  0.3712  0.4629  0.7500  8 Mg 2.69-2.96, 4 Pd 2.92-2.98
Pd  0.4629  0.0918  0.2500  8 Mg 2.69-2.96, 4 Pd 2.92-2.98
Pd  0.5371  0.9082  0.7500  8 Mg 2.69-2.96, 4 Pd 2.92-2.98
Pd  0.6288  0.5371  0.2500  8 Mg 2.69-2.96, 4 Pd 2.92-2.98
Pd  0.9082  0.3712  0.2500  8 Mg 2.69-2.96, 4 Pd 2.92-2.98

Summary:
Its energy above the most stable polymorph in this dataset is 0 meV/atom. Its raw total energy is -3.65 eV per atom. The calculated volume comes out at 235.85 Å³/cell.

---

(6)
This record from OQMD describes a relaxed structure of SrScAgTeSe2. The functional is GGA-PBE.

a b c (Å): 7.4812 7.4812 10.7352
angles (deg): 90.00 90.00 148.38
With the nearest neighbours (Å) after each atom.
Element x y z (fractional)
Sr  0.2189  0.7811  0.7500  4 Se 3.23, 2 Te 3.30, 2 Ag 3.45
Sr  0.7811  0.2189  0.2500  4 Se 3.23, 2 Te 3.30, 2 Ag 3.45
Sc  0.0000  0.0000  0.0000  4 Se 2.80, 2 Te 3.05
Sc  0.0000  0.0000  0.5000  4 Se 2.80, 2 Te 3.05
Ag  0.4742  0.5258  0.2500  2 Se 2.60, 2 Te 2.74
Ag  0.5258  0.4742  0.7500  2 Se 2.60, 2 Te 2.74
Te  0.1012  0.8988  0.2500  2 Ag 2.74, 2 Sc 3.05
Te  0.8988  0.1012  0.7500  2 Ag 2.74, 2 Sc 3.05
Se  0.3718  0.6282  0.0505  1 Ag 2.60, 2 Sc 2.80
Se  0.3718  0.6282  0.4495  1 Ag 2.60, 2 Sc 2.80
Se  0.6282  0.3718  0.5505  1 Ag 2.60, 2 Sc 2.80
Se  0.6282  0.3718  0.9495  1 Ag 2.60, 2 Sc 2.80

Summary:
Its raw total energy is -4.75 eV per atom. The calculated volume comes out at 315.03 Å³/cell.

---

(7)
This record from OQMD describes a relaxed structure of AgMoIr2. The functional is GGA-PBE.

a b c (Å): 4.4557 4.4557 4.4557
angles (deg): 60.00 60.00 60.00
With the nearest neighbours (Å) after each atom.
Element x y z (fractional)
Ag  0.0000  0.0000  0.0000  4 Ir 2.73, 4 Mo 2.73
Mo  0.2500  0.2500  0.2500  4 Ir 2.73, 4 Ag 2.73
Ir  0.5000  0.5000  0.5000  4 Ir 2.73, 4 Mo 2.73
Ir  0.7500  0.7500  0.7500  4 Ir 2.73, 4 Ag 2.73

Summary:
The calculation puts the formation energy at 0.53 eV per atom. Its raw total energy is -7.32 eV per atom. The calculated volume comes out at 62.55 Å³/cell.

---

(8)
This record from OQMD describes a relaxed structure of YErFe2. The functional is GGA-PBE.

a b c (Å): 3.7398 5.5931 7.7412
angles (deg): 90.00 90.00 90.00
With the nearest neighbours (Å) after each atom.
Element x y z (fractional)
Y  0.0000  0.1373  0.0000  7 Fe 2.95-3.07
Y  0.0000  0.8627  0.5000  7 Fe 2.95-3.07
Er  0.5000  0.3628  0.3559  7 Fe 2.91-3.15
Er  0.5000  0.6372  0.8559  7 Fe 2.91-3.15
Fe  0.0000  0.3528  0.6472  2 Fe 2.20
Fe  0.0000  0.6472  0.1472  2 Fe 2.20
Fe  0.5000  0.1604  0.7055  2 Fe 2.20
Fe  0.5000  0.8396  0.2055  2 Fe 2.20

Summary:
The calculation puts the formation energy at -0.01 eV per atom. Its raw total energy is -6.93 eV per atom. The calculated volume comes out at 161.92 Å³/cell.

---

- The highest raw total energy belongs to which entry?
  Pm5Mg4Cd